# PBE BeGeTe, relaxed
# - D(E_F): 0.4 states/eV per cell
# - Spin magnetization: 0.00 μB per cell
# - Raw total energy: -3.657 eV per atom
data_BeGeTe
_chemical_formula_sum 'Be1 Ge1 Te1'
_space_group_name_H-M_alt 'P 1'
_space_group_IT_number 1
_cell_length_a 4.100
_cell_length_b 4.345
_cell_length_c 4.155
_cell_angle_alpha 90.00
_cell_angle_beta 119.13
_cell_angle_gamma 90.00
loop_
_space_group_symop_operation_xyz
'x,y,z'
loop_
_atom_site_label
_atom_site_fract_x
_atom_site_fract_y
_atom_site_fract_z
Be1 0.500 0.553 0.500
Te1 0.000 0.890 0.500
Ge1 0.500 0.327 0.000